First-principles (PBE+U) data for a relaxed structure of TlReW2F, as listed in Alexandria via LeMat-Bulk.

Structure (CIF):
```
data_TlReW2F
_space_group_name_H-M_alt 'P 1'
_space_group_IT_number 1
_cell_length_a 5.026
_cell_length_b 5.026
_cell_length_c 5.373
_cell_angle_alpha 90.00
_cell_angle_beta 90.00
_cell_angle_gamma 90.00
loop_
_space_group_symop_operation_xyz
'x,y,z'
loop_
_atom_site_label
_atom_site_type_symbol
_atom_site_fract_x
_atom_site_fract_y
_atom_site_fract_z
Tl1 Tl 0.000 0.000 0.000
Re1 Re 0.000 0.000 0.500
W1 W 0.000 0.500 0.500
W2 W 0.500 0.000 0.500
F1 F 0.500 0.500 0.000
```

- magnetic moment (μB/f.u.) = 5.60
- electronic total energy (eV/cell) = -25.2
- space group = P4/mmm (123)
- crystal system = tetragonal
- Fermi-level density of states (states/eV/f.u.) = 2.517